Er5Te6, relaxed, DFT GGA-PBE; space-group type = C2/m; raw total energy = -56.465 eV for the cell shown; M_tot = 0.003 μB per cell
1.0
3.721 -6.413 0.000
3.721 6.413 0.000
-2.484 0.000 6.989
Er Te
5 6
direct
0.000 0.000 0.000 Er
0.164 0.836 0.500 Er
0.329 0.671 0.000 Er
0.671 0.329 0.000 Er
0.836 0.164 0.500 Er
0.097 0.420 0.258 Te
0.259 0.259 0.746 Te
0.420 0.097 0.258 Te
0.580 0.903 0.742 Te
0.741 0.741 0.254 Te
0.903 0.580 0.742 Te

LiPrOs, relaxed, DFT GGA-PBE; space-group type = F-43m; raw total energy = -16.121 eV for the cell shown; M_tot = 0.005 μB per cell
1.0
0.000 3.108 3.108
3.108 0.000 3.108
3.108 3.108 0.000
Li Pr Os
1 1 1
direct
0.000 0.000 0.000 Li
0.250 0.250 0.250 Pr
0.750 0.750 0.750 Os

Dy2Y2Lu3Ni2Te2, relaxed, DFT GGA-PBE; space-group type = Imm2; raw total energy = -60.378 eV for the cell shown; M_tot = 0.009 μB per cell
1.0
-1.907 7.732 4.806
1.907 -7.732 4.806
1.907 7.732 -4.806
Dy Y Lu Ni Te
2 2 3 2 2
direct
0.132 0.000 0.132 Dy
0.868 0.000 0.868 Dy
0.516 0.202 0.315 Y
0.887 0.202 0.685 Y
0.210 0.855 0.355 Lu
0.499 0.855 0.645 Lu
0.577 0.577 0.000 Lu
0.266 0.502 0.765 Ni
0.737 0.502 0.235 Ni
0.246 0.246 0.000 Te
0.841 0.341 0.500 Te

LaTmTlTe3, relaxed, DFT GGA-PBE; space-group type = Cmcm; raw total energy = -54.530 eV for the cell shown; M_tot = 0.096 μB per cell
1.0
2.309 -7.694 0.000
2.309 7.694 0.000
0.000 0.000 12.501
La Tm Tl Te
2 2 2 6
direct
0.000 0.000 0.000 La
0.000 0.000 0.500 La
0.451 0.549 0.750 Tm
0.549 0.451 0.250 Tm
0.248 0.752 0.250 Tl
0.752 0.248 0.750 Tl
0.071 0.929 0.750 Te
0.355 0.645 0.550 Te
0.355 0.645 0.950 Te
0.645 0.355 0.050 Te
0.645 0.355 0.450 Te
0.929 0.071 0.250 Te

Dy3Si5, relaxed, DFT GGA-PBE; space-group type = P-62m; raw total energy = -46.338 eV for the cell shown; M_tot = 0.003 μB per cell
1.0
6.564 0.000 0.000
-3.282 5.684 0.000
0.000 0.000 4.189
Dy Si
3 5
direct
0.000 0.353 0.000 Dy
0.353 0.000 0.000 Dy
0.647 0.647 0.000 Dy
0.000 0.733 0.500 Si
0.267 0.267 0.500 Si
0.333 0.667 0.500 Si
0.667 0.333 0.500 Si
0.733 0.000 0.500 Si

Pd2PbBr2, relaxed, DFT GGA-PBE; space-group type = I4/mmm; raw total energy = -17.308 eV for the cell shown
1.0
-1.960 1.960 7.318
1.960 -1.960 7.318
1.960 1.960 -7.318
Pd Pb Br
2 1 2
direct
0.250 0.750 0.500 Pd
0.750 0.250 0.500 Pd
0.000 0.000 0.000 Pb
0.384 0.384 0.000 Br
0.616 0.616 0.000 Br

Dy3Sb2Te, relaxed, DFT GGA-PBE; space-group type = P-3m1; raw total energy = -32.540 eV for the cell shown; M_tot = 0.002 μB per cell
1.0
4.380 0.000 0.000
-2.190 3.793 0.000
0.000 0.000 10.700
Dy Sb Te
3 2 1
direct
0.000 0.000 0.000 Dy
0.333 0.667 0.677 Dy
0.667 0.333 0.323 Dy
0.333 0.667 0.166 Sb
0.667 0.333 0.834 Sb
0.000 0.000 0.500 Te

InTcBi, relaxed, DFT GGA-PBE; space-group type = F-43m; raw total energy = -15.704 eV for the cell shown; M_tot = 0.001 μB per cell
1.0
0.000 3.295 3.295
3.295 0.000 3.295
3.295 3.295 0.000
In Tc Bi
1 1 1
direct
0.000 0.000 0.000 In
0.750 0.750 0.750 Tc
0.500 0.500 0.500 Bi

Si2AgF4, relaxed, DFT GGA-PBE; space-group type = P2_1/c; raw total energy = -65.889 eV for the cell shown
1.0
4.114 0.000 0.000
0.000 9.154 0.000
-0.436 0.000 4.913
Si Ag F
4 2 8
direct
0.185 0.232 0.407 Si
0.185 0.268 0.907 Si
0.815 0.732 0.093 Si
0.815 0.768 0.593 Si
0.500 0.000 0.000 Ag
0.500 0.500 0.500 Ag
0.225 0.724 0.124 F
0.225 0.776 0.624 F
0.245 0.053 0.405 F
0.245 0.447 0.905 F
0.755 0.553 0.095 F
0.755 0.947 0.595 F
0.775 0.224 0.376 F
0.775 0.276 0.876 F

YMgZn2, relaxed, DFT GGA-PBE; space-group type = P6_3/mmc; raw total energy = -23.697 eV for the cell shown; M_tot = 0.004 μB per cell
1.0
4.696 0.000 0.000
-2.348 4.067 0.000
0.000 0.000 8.481
Y Mg Zn
2 2 4
direct
0.333 0.667 0.250 Y
0.667 0.333 0.750 Y
0.000 0.000 0.000 Mg
0.000 0.000 0.500 Mg
0.333 0.667 0.596 Zn
0.333 0.667 0.904 Zn
0.667 0.333 0.096 Zn
0.667 0.333 0.404 Zn

Tl2CdInF6, relaxed, DFT GGA-PBE; space-group type = R-3m; raw total energy = -38.873 eV for the cell shown
1.0
3.067 1.771 4.998
-3.067 1.771 4.998
0.000 -3.542 4.998
Tl Cd In F
2 1 1 6
direct
0.250 0.250 0.250 Tl
0.750 0.750 0.750 Tl
0.000 0.000 0.000 Cd
0.500 0.500 0.500 In
0.255 0.255 0.745 F
0.255 0.745 0.255 F
0.255 0.745 0.745 F
0.745 0.255 0.255 F
0.745 0.255 0.745 F
0.745 0.745 0.255 F

Zn2Sn2Ge, relaxed, DFT GGA-PBE; space-group type = I4/mmm; raw total energy = -13.829 eV for the cell shown
1.0
-2.056 2.056 6.595
2.056 -2.056 6.595
2.056 2.056 -6.595
Zn Sn Ge
2 2 1
direct
0.250 0.750 0.500 Zn
0.750 0.250 0.500 Zn
0.109 0.109 0.000 Sn
0.891 0.891 0.000 Sn
0.500 0.500 0.000 Ge

ZnO, relaxed, DFT GGA-PBE; space-group type = Pm-3n; raw total energy = -53.761 eV for the cell shown
1.0
5.607 0.000 0.000
0.000 5.607 0.000
0.000 0.000 5.607
Zn O
6 6
direct
0.000 0.250 0.500 Zn
0.000 0.750 0.500 Zn
0.250 0.500 0.000 Zn
0.500 0.000 0.250 Zn
0.500 0.000 0.750 Zn
0.750 0.500 0.000 Zn
0.000 0.500 0.250 O
0.000 0.500 0.750 O
0.250 0.000 0.500 O
0.500 0.250 0.000 O
0.500 0.750 0.000 O
0.750 0.000 0.500 O

InAg3F6, relaxed, DFT GGA-PBE; space-group type = R-3c; raw total energy = -76.423 eV for the cell shown
1.0
4.894 2.826 3.654
-4.894 2.826 3.654
0.000 -5.651 3.654
In Ag F
2 6 12
direct
0.000 0.000 0.000 In
0.500 0.500 0.500 In
0.023 0.250 0.477 Ag
0.250 0.477 0.023 Ag
0.477 0.023 0.250 Ag
0.523 0.977 0.750 Ag
0.750 0.523 0.977 Ag
0.977 0.750 0.523 Ag
0.056 0.717 0.879 F
0.121 0.944 0.283 F
0.217 0.556 0.379 F
0.283 0.121 0.944 F
0.379 0.217 0.556 F
0.444 0.621 0.783 F
0.556 0.379 0.217 F
0.621 0.783 0.444 F
0.717 0.879 0.056 F
0.783 0.444 0.621 F
0.879 0.056 0.717 F
0.944 0.283 0.121 F

Lu2InAg, relaxed, DFT GGA-PBE; space-group type = P6_3/mmc; raw total energy = -28.839 eV for the cell shown; M_tot = 0.005 μB per cell
1.0
5.095 0.000 0.000
-2.548 4.413 0.000
0.000 0.000 9.633
Lu In Ag
4 2 2
direct
0.333 0.667 0.085 Lu
0.333 0.667 0.415 Lu
0.667 0.333 0.585 Lu
0.667 0.333 0.915 Lu
0.000 0.000 0.000 In
0.000 0.000 0.500 In
0.333 0.667 0.750 Ag
0.667 0.333 0.250 Ag

MgCdGePt, relaxed, DFT GGA-PBE; space-group type = F-43m; raw total energy = -13.930 eV for the cell shown; M_tot = 0.001 μB per cell
1.0
0.000 3.298 3.298
3.298 0.000 3.298
3.298 3.298 0.000
Mg Cd Ge Pt
1 1 1 1
direct
0.000 0.000 0.000 Mg
0.750 0.750 0.750 Cd
0.500 0.500 0.500 Ge
0.250 0.250 0.250 Pt

Hf2Ag, relaxed, DFT GGA-PBE; space-group type = I4/mmm; ΔE_f = -0.36 eV/f.u.; M_tot = 0.001 μB per cell
1.0
-1.608 1.608 5.965
1.608 -1.608 5.965
1.608 1.608 -5.965
Hf Ag
2 1
direct
0.165 0.165 0.000 Hf
0.835 0.835 0.000 Hf
0.500 0.500 0.000 Ag

AlBi2Os, relaxed, DFT GGA-PBE; space-group type = P6_3/mmc; raw total energy = -40.967 eV for the cell shown; M_tot = 0.038 μB per cell
1.0
3.455 0.000 0.000
-1.728 2.992 0.000
0.000 0.000 18.138
Al Bi Os
2 4 2
direct
0.000 0.000 0.000 Al
0.000 0.000 0.500 Al
0.333 0.667 0.141 Bi
0.333 0.667 0.359 Bi
0.667 0.333 0.641 Bi
0.667 0.333 0.859 Bi
0.333 0.667 0.750 Os
0.667 0.333 0.250 Os

CsCuTePtS2, relaxed, DFT GGA-PBE; space-group type = Cmcm; raw total energy = -49.207 eV for the cell shown; M_tot = 0.007 μB per cell
1.0
1.858 -8.131 0.000
1.858 8.131 0.000
0.000 0.000 10.679
Cs Cu Te Pt S
2 2 2 2 4
direct
0.237 0.763 0.750 Cs
0.763 0.237 0.250 Cs
0.447 0.553 0.250 Cu
0.553 0.447 0.750 Cu
0.061 0.939 0.250 Te
0.939 0.061 0.750 Te
0.000 0.000 0.000 Pt
0.000 0.000 0.500 Pt
0.408 0.592 0.046 S
0.408 0.592 0.454 S
0.592 0.408 0.546 S
0.592 0.408 0.954 S

GdHoIn, relaxed, DFT GGA-PBE; space-group type = P6_3/mmc; raw total energy = -26.060 eV for the cell shown; M_tot = 0.584 μB per cell
1.0
5.402 0.000 0.000
-2.701 4.679 0.000
0.000 0.000 6.737
Gd Ho In
2 2 2
direct
0.333 0.667 0.250 Gd
0.667 0.333 0.750 Gd
0.000 0.000 0.000 Ho
0.000 0.000 0.500 Ho
0.333 0.667 0.750 In
0.667 0.333 0.250 In